Model A:
# Dy2YSe

A relaxed structure of Dy2YSe (PBE, Alexandria).

Cell lengths 9.650, 9.650, 9.650 Å; angles 22.70, 22.70, 22.70 degrees
Fractional coordinates of all 4 atoms:
Dy  0.000  0.000  0.000
Dy  0.202  0.202  0.202
Y  0.434  0.434  0.434
Se  0.601  0.601  0.601

Model B:
# Dy2YSe

A relaxed structure of Dy2YSe (PBE, Alexandria).

Cell lengths 10.559, 10.559, 10.559 Å; angles 20.23, 20.23, 20.23 degrees
Fractional coordinates of all 4 atoms:
Dy  0.108  0.108  0.108
Dy  0.892  0.892  0.892
Y  0.000  0.000  0.000
Se  0.500  0.500  0.500

The structure with the least stability is model B.

Model A:
# Dy5Si3

A relaxed structure of Dy5Si3 (PBE, Alexandria).

Cell lengths 8.618, 8.618, 8.618 Å; angles 128.23, 128.23, 76.26 degrees
Fractional coordinates of all 16 atoms:
Dy  0.000  0.000  0.000
Dy  0.027  0.527  0.844
Dy  0.183  0.027  0.500
Dy  0.317  0.817  0.844
Dy  0.473  0.317  0.500
Dy  0.500  0.500  0.000
Dy  0.527  0.683  0.500
Dy  0.683  0.183  0.156
Dy  0.817  0.973  0.500
Dy  0.973  0.473  0.156
Si  0.123  0.377  0.500
Si  0.250  0.250  0.000
Si  0.377  0.877  0.253
Si  0.623  0.123  0.747
Si  0.750  0.750  0.000
Si  0.877  0.623  0.500

Model B:
# Dy5Si3

A relaxed structure of Dy5Si3 (PBE, Alexandria).

Cell lengths 8.443, 8.443, 6.369 Å; angles 90.00, 90.00, 120.00 degrees
Fractional coordinates of all 16 atoms:
Dy  0.000  0.243  0.250
Dy  0.000  0.757  0.750
Dy  0.243  0.000  0.250
Dy  0.243  0.243  0.750
Dy  0.333  0.667  0.000
Dy  0.333  0.667  0.500
Dy  0.667  0.333  0.000
Dy  0.667  0.333  0.500
Dy  0.757  0.000  0.750
Dy  0.757  0.757  0.250
Si  0.000  0.395  0.750
Si  0.000  0.605  0.250
Si  0.395  0.000  0.750
Si  0.395  0.395  0.250
Si  0.605  0.000  0.250
Si  0.605  0.605  0.750

The structure with the least stability is model A.

Model A:
# Sm2DySi

A relaxed structure of Sm2DySi (PBE, Alexandria).

Cell lengths 4.679, 4.679, 4.720 Å; angles 90.00, 90.00, 90.00 degrees
Fractional coordinates of all 4 atoms:
Sm  0.000  0.500  0.000
Sm  0.500  0.000  0.000
Dy  0.000  0.000  0.500
Si  0.500  0.500  0.500

Model B:
# Sm2DySi

A relaxed structure of Sm2DySi (PBE, Alexandria).

Cell lengths 10.190, 10.190, 10.190 Å; angles 21.22, 21.22, 21.22 degrees
Fractional coordinates of all 4 atoms:
Sm  0.231  0.231  0.231
Sm  0.769  0.769  0.769
Dy  0.000  0.000  0.000
Si  0.500  0.500  0.500

The structure with the least stability is model B.

Model A:
# DySiSn

A relaxed structure of DySiSn (PBE, Alexandria).

Cell lengths 4.249, 4.249, 9.167 Å; angles 100.69, 100.69, 67.83 degrees
Fractional coordinates of all 6 atoms:
Dy  0.000  0.000  0.000
Dy  0.180  0.180  0.476
Si  0.383  0.383  0.184
Si  0.897  0.897  0.664
Sn  0.569  0.569  0.765
Sn  0.759  0.759  0.256

Model B:
# DySiSn

A relaxed structure of DySiSn (PBE, Alexandria).

Cell lengths 8.442, 8.442, 3.955 Å; angles 90.00, 90.00, 150.59 degrees
Fractional coordinates of all 6 atoms:
Dy  0.093  0.907  0.750
Dy  0.907  0.093  0.250
Si  0.454  0.546  0.750
Si  0.546  0.454  0.250
Sn  0.258  0.742  0.250
Sn  0.742  0.258  0.750

The structure with the least stability is model A.

Model A:
# Tb2DySi

A relaxed structure of Tb2DySi (PBE, Alexandria).

Cell lengths 4.639, 4.639, 4.639 Å; angles 90.00, 90.00, 90.00 degrees
Fractional coordinates of all 4 atoms:
Tb  0.000  0.500  0.000
Tb  0.500  0.000  0.000
Dy  0.000  0.000  0.500
Si  0.500  0.500  0.500

Model B:
# Tb2DySi

A relaxed structure of Tb2DySi (PBE, Alexandria).

Cell lengths 10.987, 10.987, 10.987 Å; angles 18.79, 18.79, 18.79 degrees
Fractional coordinates of all 4 atoms:
Tb  0.107  0.107  0.107
Tb  0.893  0.893  0.893
Dy  0.000  0.000  0.000
Si  0.500  0.500  0.500

The structure with the least stability is model B.

Model A:
# TbDy2Si2

A relaxed structure of TbDy2Si2 (PBE, Alexandria).

Cell lengths 7.509, 7.509, 4.207 Å; angles 90.00, 90.00, 90.00 degrees
Fractional coordinates of all 10 atoms:
Tb  0.000  0.000  0.000
Tb  0.500  0.500  0.000
Dy  0.176  0.324  0.500
Dy  0.324  0.824  0.500
Dy  0.676  0.176  0.500
Dy  0.824  0.676  0.500
Si  0.116  0.616  0.000
Si  0.384  0.116  0.000
Si  0.616  0.884  0.000
Si  0.884  0.384  0.000

Model B:
# TbDy2Si2

A relaxed structure of TbDy2Si2 (PBE, Alexandria).

Cell lengths 6.447, 6.447, 10.338 Å; angles 115.10, 115.10, 39.14 degrees
Fractional coordinates of all 10 atoms:
Tb  0.219  0.219  0.358
Tb  0.781  0.781  0.642
Dy  0.318  0.318  0.913
Dy  0.484  0.484  0.312
Dy  0.516  0.516  0.688
Dy  0.682  0.682  0.087
Si  0.026  0.026  0.898
Si  0.111  0.111  0.561
Si  0.889  0.889  0.439
Si  0.974  0.974  0.102

The structure with the least stability is model B.